VASP calculation (PBE) on a relaxed structure of CeSm2Y6.

The structure in POSCAR format:
```
CeSm2Y6
1.0
6.0982 -2.1431 2.2020
0.1504 12.8496 -3.8104
0.7050 -4.3702 8.9975
Ce Y Sm
2 12 4
direct
0.1573 0.0819 0.9604 Ce
0.8427 0.9181 0.0396 Ce
0.6440 0.2506 0.4021 Y
0.7339 0.9566 0.4727 Y
0.5872 0.3164 0.8427 Y
0.0839 0.1875 0.4042 Y
0.4128 0.6836 0.1573 Y
0.0299 0.4529 0.2636 Y
0.2661 0.0434 0.5273 Y
0.9161 0.8125 0.5958 Y
0.9701 0.5471 0.7364 Y
0.2685 0.8727 0.0702 Y
0.7315 0.1273 0.9298 Y
0.3560 0.7494 0.5979 Y
0.5447 0.5983 0.7021 Sm
0.1524 0.3756 0.8211 Sm
0.4553 0.4017 0.2979 Sm
0.8476 0.6244 0.1789 Sm
```

Computed properties:
Its symmetry is P-1 (2). The total moment comes out at 0.42 μB/f.u. The formation energy comes out at 0.08 eV per atom. Its energy relative to the lowest polymorph listed for this composition is 0 meV per atom. The density of states at the Fermi level is 33.9 states/eV per cell.